AlBi3Os | PBE-GGA | optimized geometry

Computed properties:
ΔE_f (eV/atom): 1.56
Crystal system: cubic
Polymorph energy (0 for the lowest one) (eV/atom): 0.689
E (eV/atom): -3.760
Calculated density (g cm⁻³): 9.51

abc: 5.282 5.282 5.282
angles: 90.00 90.00 90.00
Sites, in units of the cell vectors:
Al1 0.000 0.000 0.000
Bi1 0.000 0.000 0.500
Bi2 0.000 0.500 0.000
Bi3 0.500 0.000 0.000
Os1 0.500 0.500 0.500

=====

AlIn | PBE-GGA | optimized geometry

Computed properties:
ΔE_f (eV/atom): 0.22
Crystal system: orthorhombic
E (eV/atom): -3.023
Calculated density (g cm⁻³): 4.98

abc: 8.801 8.161 5.195
angles: 79.03 65.55 35.42
Sites, in units of the cell vectors:
Al1 0.038 0.038 0.212
Al2 0.212 0.212 0.038
Al3 0.788 0.788 0.962
Al4 0.962 0.962 0.788
In1 0.205 0.545 0.205
In2 0.455 0.795 0.455
In3 0.545 0.205 0.545
In4 0.795 0.455 0.795

=====

CsSnCl2 | PBE-GGA | optimized geometry

Computed properties:
Energy relative to the elements, uncorrected (kcal/mol of atoms): -24.2
Crystal system: trigonal
Polymorph energy (0 for the lowest one) (eV/atom): 0.000
E (eV/atom): -3.187
Calculated density (g cm⁻³): 3.36

abc: 10.290 10.290 10.290
angles: 24.09 24.09 24.09
Sites, in units of the cell vectors:
Cs1 0.000 0.000 0.000
Sn1 0.500 0.500 0.500
Cl1 0.410 0.410 0.410
Cl2 0.590 0.590 0.590

=====

> Which of these has the highest calculated density?

AlBi3Os

=====

> E of number 2 (AlIn)?

-3.023 eV/atom

=====

> What is the formula in the third record?

CsSnCl2

=====

> Which of these has the lowest calculated density?

CsSnCl2